Entry 1:
Sm4Y4Tm | PBE-GGA | relaxed

abc: 5.0689 8.0256 8.0256
angles: 84.28 71.59 71.59
Closest atoms and distances in Å follow each position.
Positions (direct):
Sm 0.0001 0.6671 0.3326  6 Y 3.58-3.60, 1 Tm 3.58, 5 Sm 3.59-3.60
Y 0.6658 0.9999 0.6685  4 Y 3.57-3.61, 2 Tm 3.58, 6 Sm 3.58-3.60
Tm 0.0000 0.0000 0.0000  8 Y 3.58, 4 Sm 3.58
Sm 0.3328 0.6674 0.6671  6 Y 3.58-3.60, 1 Tm 3.58, 5 Sm 3.59-3.60
Y 0.6657 0.6685 0.0001  4 Y 3.57-3.61, 2 Tm 3.58, 6 Sm 3.58-3.60
Sm 0.9999 0.3329 0.6674  6 Y 3.58-3.60, 1 Tm 3.58, 5 Sm 3.59-3.60
Y 0.3343 0.3315 0.9999  4 Y 3.57-3.61, 2 Tm 3.58, 6 Sm 3.58-3.60
Sm 0.6672 0.3326 0.3329  6 Y 3.58-3.60, 1 Tm 3.58, 5 Sm 3.59-3.60
Y 0.3342 0.0001 0.3315  4 Y 3.57-3.61, 2 Tm 3.58, 6 Sm 3.58-3.60

DFT formation energy = 0.021 eV/atom

=====

Entry 2:
MgZn2Ni | PBE-GGA | relaxed

abc: 4.1475 2.8216 5.2220
angles: 75.13 90.00 90.00
Closest atoms and distances in Å follow each position.
Positions (direct):
Zn 0.0000 0.8178 0.0032  2 Ni 2.45, 3 Mg 2.70-2.74, 4 Zn 2.71-2.75
Ni 0.5000 0.9389 0.7432  3 Zn 2.45-2.66, 4 Mg 2.71-2.72
Zn 0.5000 0.2045 0.2156  3 Ni 2.66-2.78, 6 Zn 2.71-2.82, 2 Mg 2.97
Mg 0.0000 0.5387 0.5380  7 Zn 2.70-3.01, 4 Ni 2.71-2.72, 2 Mg 2.82

DFT formation energy = -0.100 eV/atom

=====

Entry 3:
NdEuCu4 | PBE-GGA | relaxed

abc: 5.3752 5.3752 5.3752
angles: 60.00 60.00 60.00
Closest atoms and distances in Å follow each position.
Positions (direct):
Cu 0.6254 0.6254 0.6254  6 Cu 2.68-2.70
Cu 0.6254 0.6254 0.1239  6 Cu 2.68-2.70
Nd 0.2500 0.2500 0.2500  12 Cu 3.15, 4 Eu 3.29
Eu 0.0000 0.0000 0.0000  12 Cu 3.15, 4 Nd 3.29
Cu 0.1239 0.6254 0.6254  6 Cu 2.68-2.70
Cu 0.6254 0.1239 0.6254  6 Cu 2.68-2.70

DFT formation energy = -0.067 eV/atom

=====

Entry 4:
Pa2FeC2 | PBE-GGA | relaxed

abc: 5.1257 7.1307 8.0337
angles: 90.00 90.00 90.00
Closest atoms and distances in Å follow each position.
Positions (direct):
Pa 0.7500 0.6517 0.5510  5 C 2.39-2.57, 1 Fe 2.53
Pa 0.2500 0.4815 0.8405  5 C 2.41-2.65
Pa 0.2500 0.9815 0.6595  5 C 2.41-2.65
Pa 0.2500 0.8483 0.0510  5 C 2.39-2.57, 1 Fe 2.53
Fe 0.2500 0.7360 0.3494  3 C 1.95-2.12
Fe 0.2500 0.2360 0.1506  3 C 1.95-2.12
C 0.2500 0.6495 0.5796  1 Fe 1.95
Pa 0.7500 0.5185 0.1595  5 C 2.41-2.65
Fe 0.7500 0.2640 0.6506  3 C 1.95-2.12
Pa 0.7500 0.1517 0.9490  5 C 2.39-2.57, 1 Fe 2.53
C 0.2500 0.1495 0.9204  1 Fe 1.95
C 0.7500 0.4809 0.8307  2 Fe 2.02-2.12
Fe 0.7500 0.7640 0.8494  3 C 1.95-2.12
Pa 0.2500 0.3483 0.4490  5 C 2.39-2.57, 1 Fe 2.53
Pa 0.7500 0.0185 0.3405  5 C 2.41-2.65
C 0.7500 0.9809 0.6693  2 Fe 2.02-2.12
C 0.7500 0.3505 0.4204  1 Fe 1.95
C 0.2500 0.0191 0.3307  2 Fe 2.02-2.12
C 0.7500 0.8505 0.0796  1 Fe 1.95
C 0.2500 0.5191 0.1693  2 Fe 2.02-2.12

DFT formation energy = -0.275 eV/atom

=====

Entry 5:
Si2As2Pt | PBE-GGA | relaxed

abc: 3.3627 3.3627 8.1094
angles: 78.03 78.03 90.00
Closest atoms and distances in Å follow each position.
Positions (direct):
Pt 0.0000 0.0000 0.0000  8 As 2.79
As 0.4055 0.4055 0.1889  4 Pt 2.79, 1 As 2.93, 4 Si 2.94
Si 0.2500 0.7500 0.5000  4 Si 2.38
Si 0.7500 0.2500 0.5000  4 Si 2.38
As 0.5945 0.5945 0.8111  4 Pt 2.79, 1 As 2.93, 4 Si 2.94

uncorrected formation energy = 0.288 eV/atom
E above lowest polymorph = 0 meV/atom

=====

Entry 6:
Ca2Cd3Hg8 | PBE-GGA | relaxed

abc: 6.3742 7.9408 8.1390
angles: 119.20 99.58 90.00
Closest atoms and distances in Å follow each position.
Positions (direct):
Ca 0.2688 0.2073 0.4145  7 Hg 3.13-3.25, 2 Cd 3.44
Hg 0.4455 0.7975 0.2218  2 Hg 2.96-3.28, 2 Cd 3.00-3.15, 2 Ca 3.15-3.22
Hg 0.1011 0.4023 0.8047  2 Cd 3.00, 4 Hg 3.10-3.28, 1 Ca 3.16
Ca 0.7312 0.7927 0.5855  7 Hg 3.13-3.25, 2 Cd 3.44
Cd 0.5000 0.0000 0.0000  6 Hg 3.00-3.16
Hg 0.5545 0.5756 0.7782  2 Hg 2.96-3.28, 2 Cd 3.00-3.15, 2 Ca 3.15-3.22
Cd 0.0000 0.8165 0.0000  1 Cd 2.91, 4 Hg 3.00-3.15
Hg 0.5545 0.2025 0.7782  2 Hg 2.96-3.28, 2 Cd 3.00-3.15, 2 Ca 3.15-3.22
Hg 0.8989 0.5977 0.1953  2 Cd 3.00, 4 Hg 3.10-3.28, 1 Ca 3.16
Hg 0.4455 0.4244 0.2218  2 Hg 2.96-3.28, 2 Cd 3.00-3.15, 2 Ca 3.15-3.22
Cd 0.0000 0.1835 0.0000  1 Cd 2.91, 4 Hg 3.00-3.15
Hg 0.7789 0.2092 0.4184  3 Hg 3.10-3.40, 2 Ca 3.13-3.25, 1 Cd 3.16
Hg 0.2211 0.7908 0.5816  3 Hg 3.10-3.40, 2 Ca 3.13-3.25, 1 Cd 3.16

DFT formation energy = -0.163 eV/atom
E above lowest polymorph = 19 meV/atom

=====

Entry 7:
SrLi2MgAg | PBE-GGA | relaxed

abc: 4.4394 4.5207 7.1859
angles: 108.33 107.99 90.00
Closest atoms and distances in Å follow each position.
Positions (direct):
Ag 0.8349 0.8349 0.6698  3 Li 2.73-2.83, 2 Mg 2.85
Mg 0.1960 0.6960 0.3920  2 Ag 2.85, 6 Li 2.97-3.17
Li 0.0465 0.0465 0.0930  1 Ag 2.73, 2 Mg 2.97, 2 Li 2.99
Sr 0.4324 0.4324 0.8648  4 Ag 3.41, 6 Li 3.49-3.71, 2 Mg 3.80
Li 0.7023 0.2023 0.4046  2 Ag 2.83, 2 Li 2.99, 4 Mg 3.17

DFT formation energy = -0.117 eV/atom
E above lowest polymorph = 0 meV/atom

=====

Entry 8:
Rb2TaMnSe5 | PBE-GGA | relaxed

abc: 3.8438 10.5712 14.2858
angles: 90.00 90.00 100.48
Closest atoms and distances in Å follow each position.
Positions (direct):
Se 0.2902 0.5804 0.6460  2 Ta 2.61
Se 0.7098 0.4196 0.1460  2 Ta 2.61
Se 0.6924 0.3848 0.8932  1 Mn 2.46, 2 Ta 2.70
Ta 0.2116 0.4232 0.0226  3 Se 2.40-2.61
Ta 0.7884 0.5768 0.5226  3 Se 2.40-2.61
Se 0.0769 0.1537 0.0436  2 Mn 2.44
Se 0.6748 0.3496 0.4907  1 Ta 2.40
Rb 0.1163 0.2326 0.3031  7 Se 3.41-3.80
Rb 0.8749 0.7499 0.1823  5 Se 3.40-3.50
Rb 0.8837 0.7674 0.8031  7 Se 3.41-3.80
Se 0.4809 0.9618 0.3035  1 Mn 2.29
Se 0.9231 0.8463 0.5436  2 Mn 2.44
Se 0.3076 0.6152 0.3932  1 Mn 2.46, 2 Ta 2.70
Mn 0.4218 0.8436 0.4390  4 Se 2.29-2.46
Se 0.5191 0.0382 0.8035  1 Mn 2.29
Mn 0.5782 0.1564 0.9390  4 Se 2.29-2.46
Se 0.3252 0.6504 0.9907  1 Ta 2.40
Rb 0.1251 0.2501 0.6823  5 Se 3.40-3.50

uncorrected formation energy = -0.783 eV/atom

=====

Entry 9:
Cs3AgPd2Br9 | PBE-GGA | relaxed

abc: 7.6227 7.6227 9.3404
angles: 90.00 90.00 120.00
Closest atoms and distances in Å follow each position.
Positions (direct):
Cs 0.0000 0.0000 0.0000  12 Br 3.79-3.81
Br 0.1716 0.8284 0.3247  1 Pd 2.62, 1 Ag 2.80
Cs 0.6667 0.3333 0.3350  12 Br 3.81-3.83
Br 0.5000 0.5000 0.0000  2 Pd 2.67
Br 0.8284 0.1716 0.6753  1 Pd 2.62, 1 Ag 2.80
Br 0.8284 0.6568 0.6753  1 Pd 2.62, 1 Ag 2.80
Br 0.6568 0.8284 0.3247  1 Pd 2.62, 1 Ag 2.80
Br 0.3432 0.1716 0.6753  1 Pd 2.62, 1 Ag 2.80
Br 0.0000 0.5000 0.0000  2 Pd 2.67
Cs 0.3333 0.6667 0.6650  12 Br 3.81-3.83
Br 0.1716 0.3432 0.3247  1 Pd 2.62, 1 Ag 2.80
Ag 0.0000 0.0000 0.5000  6 Br 2.80
Pd 0.6667 0.3333 0.8379  6 Br 2.62-2.67
Br 0.5000 0.0000 0.0000  2 Pd 2.67
Pd 0.3333 0.6667 0.1621  6 Br 2.62-2.67

uncorrected formation energy = -0.918 eV/atom

=====

Entry 10:
GeTe2I | PBE-GGA | relaxed

abc: 7.9447 7.9447 7.2408
angles: 56.73 56.73 90.00
Closest atoms and distances in Å follow each position.
Positions (direct):
Ge 0.2500 0.7500 0.5000  4 Te 2.71
I 0.7500 0.2500 0.5000  4 Te 3.42
Te 0.5560 0.1250 0.2500  2 Ge 2.71
Te 0.1940 0.6250 0.2500  2 Ge 2.71
Te 0.8750 0.8060 0.7500  2 Ge 2.71
Te 0.3750 0.4440 0.7500  2 Ge 2.71
I 0.0000 0.0000 0.0000  4 Te 3.42
Ge 0.5000 0.5000 0.0000  4 Te 2.71

uncorrected formation energy = 0.187 eV/atom
E above lowest polymorph = 105 meV/atom

=====

Entry 11:
ZrTePt2 | PBE-GGA | relaxed

abc: 4.7567 4.7567 4.7567
angles: 119.94 119.94 90.10
Closest atoms and distances in Å follow each position.
Positions (direct):
Pt 0.0000 0.0000 0.0000  4 Zr 2.91, 4 Pt 2.91
Zr 0.7500 0.2500 0.5000  4 Te 2.91, 4 Pt 2.91
Pt 0.2500 0.7500 0.5000  4 Pt 2.91, 4 Te 2.91
Te 0.5000 0.5000 0.0000  4 Zr 2.91, 4 Pt 2.91

uncorrected formation energy = -0.456 eV/atom

=====

Entry 12:
Ba2CaN2 | PBE-GGA | relaxed

abc: 3.6671 6.0829 11.3674
angles: 90.00 90.00 90.00
Closest atoms and distances in Å follow each position.
Positions (direct):
N 0.2496 0.5000 0.3460  2 Ca 2.53-2.54, 2 Ba 2.59
Ba 0.2505 0.0000 0.6847  2 N 2.59
Ca 0.2494 0.0000 0.0000  4 N 2.53-2.54
Ca 0.7506 0.5000 0.5000  4 N 2.53-2.54
Ba 0.2505 0.0000 0.3153  2 N 2.59
N 0.2496 0.5000 0.6540  2 Ca 2.53-2.54, 2 Ba 2.59
N 0.7504 0.0000 0.8460  2 Ca 2.53-2.54, 2 Ba 2.59
N 0.7504 0.0000 0.1540  2 Ca 2.53-2.54, 2 Ba 2.59
Ba 0.7495 0.5000 0.8153  2 N 2.59
Ba 0.7495 0.5000 0.1847  2 N 2.59

uncorrected formation energy = -0.387 eV/atom
E above lowest polymorph = 61 meV/atom

=====

Entry 13:
CeCdH | PBE-GGA | relaxed

abc: 3.3392 3.3396 10.8178
angles: 107.98 72.02 90.01
Closest atoms and distances in Å follow each position.
Positions (direct):
H 0.1608 0.3398 0.5892  5 Ce 2.34-2.44
Cd 0.1517 0.3481 0.0983  8 Cd 3.04-3.34, 1 H 3.04, 4 Ce 3.39-3.40
Ce 0.4010 0.0986 0.3489  5 H 2.34-2.44
Ce 0.5990 0.9014 0.6511  5 H 2.34-2.44
Cd 0.8483 0.6519 0.9017  8 Cd 3.04-3.34, 1 H 3.04, 4 Ce 3.39-3.40
H 0.8392 0.6602 0.4108  5 Ce 2.34-2.44

E above lowest polymorph = 1 meV/atom

=====

Entry 14:
MgCdPd5 | PBE-GGA | relaxed

abc: 4.2855 4.2855 6.5403
angles: 90.00 90.00 90.00
Closest atoms and distances in Å follow each position.
Positions (direct):
Pd 0.5000 0.5000 0.5000  8 Pd 2.80, 4 Cd 3.03
Cd 0.0000 0.0000 0.5000  12 Pd 2.80-3.03
Mg 0.5000 0.5000 0.0000  8 Pd 2.59
Pd 0.0000 0.5000 0.2233  2 Mg 2.59, 2 Pd 2.80, 2 Cd 2.80
Pd 0.5000 0.0000 0.2233  2 Mg 2.59, 2 Cd 2.80, 2 Pd 2.80
Pd 0.0000 0.5000 0.7767  2 Mg 2.59, 2 Pd 2.80, 2 Cd 2.80
Pd 0.5000 0.0000 0.7767  2 Mg 2.59, 2 Cd 2.80, 2 Pd 2.80

DFT formation energy = -0.217 eV/atom
E above lowest polymorph = 0 meV/atom

=====

Entry 15:
SrTl2Zn | PBE-GGA | relaxed

abc: 5.4074 5.4074 5.4074
angles: 119.11 119.11 91.54
Closest atoms and distances in Å follow each position.
Positions (direct):
Tl 0.2500 0.7500 0.5000  4 Zn 3.33, 4 Tl 3.33
Sr 0.7500 0.2500 0.5000  4 Tl 3.33, 4 Zn 3.33
Zn 0.5000 0.5000 0.0000  4 Tl 3.33, 4 Sr 3.33
Tl 0.0000 0.0000 0.0000  4 Sr 3.33, 4 Tl 3.33

DFT formation energy = -0.152 eV/atom

=====

Entry 16:
Al2SiTe4 | PBE-GGA | relaxed

abc: 7.4231 7.4231 8.7273
angles: 115.17 115.17 90.00
Closest atoms and distances in Å follow each position.
Positions (direct):
Te 0.6239 0.6786 0.6240  2 Al 2.62-2.83
Te 0.6954 0.8739 0.1240  2 Al 2.62-2.83
Te 0.1261 0.5714 0.8760  2 Al 2.62-2.83
Al 0.8750 0.6250 0.2500  4 Te 2.62-2.83
Al 0.3750 0.6250 0.2500  4 Te 2.62-2.83
Te 0.0546 0.3761 0.3760  2 Al 2.62-2.83
Te 0.7498 0.3046 0.8760  2 Al 2.62-2.83
Si 0.0000 0.0000 0.0000  8 Te 3.13-3.18
Te 0.0002 0.9454 0.6240  2 Al 2.62-2.83
Al 0.3750 0.1250 0.7500  4 Te 2.62-2.83
Te 0.4286 0.2502 0.1240  2 Al 2.62-2.83
Te 0.3214 0.9998 0.3760  2 Al 2.62-2.83
Si 0.7500 0.2500 0.5000  8 Te 3.13-3.18
Al 0.3750 0.6250 0.7500  4 Te 2.62-2.83

uncorrected formation energy = 0.082 eV/atom

=====

Entry 17:
Ac4Si | PBE-GGA | relaxed

abc: 6.9791 6.8497 9.1879
angles: 90.00 90.00 109.80
Closest atoms and distances in Å follow each position.
Positions (direct):
Ac 0.7421 0.4728 0.8971  1 Si 3.12
Ac 0.2363 0.0379 0.3581  2 Si 3.11-3.12
Ac 0.7421 0.9728 0.1029  1 Si 3.12
Ac 0.7637 0.9621 0.6419  2 Si 3.11-3.12
Ac 0.2579 0.0272 0.8971  1 Si 3.12
Si 0.5000 0.2500 0.6241  6 Ac 3.11-3.12
Si 0.5000 0.7500 0.3759  6 Ac 3.11-3.12
Ac 0.2579 0.5272 0.1029  1 Si 3.12
Ac 0.2363 0.5379 0.6419  2 Si 3.11-3.12
Ac 0.7637 0.4621 0.3581  2 Si 3.11-3.12

uncorrected formation energy = -0.084 eV/atom
E above lowest polymorph = 0 meV/atom

=====

Entry 18:
AsHPd2Pt | PBE-GGA | relaxed

abc: 4.1068 4.1068 3.9488
angles: 90.00 90.00 90.00
Closest atoms and distances in Å follow each position.
Positions (direct):
Pd 0.5000 0.0000 0.0000  2 H 2.05
As 0.5000 0.5000 0.5000  8 Pd 2.85, 4 Pt 2.90
Pt 0.0000 0.0000 0.5000  2 H 1.97
H 0.0000 0.0000 0.0000  2 Pt 1.97, 4 Pd 2.05
Pd 0.0000 0.5000 0.0000  2 H 2.05

E above lowest polymorph = 0 meV/atom

=====

Entry 19:
PrSm2Cu3 | PBE-GGA | relaxed

abc: 3.5602 3.5602 10.7745
angles: 90.00 90.00 90.00
Closest atoms and distances in Å follow each position.
Positions (direct):
Cu 0.0000 0.0000 0.6758  4 Sm 3.05, 4 Pr 3.15
Pr 0.5000 0.5000 0.5000  8 Cu 3.15
Sm 0.5000 0.5000 0.8356  8 Cu 3.05-3.08
Cu 0.0000 0.0000 0.3242  4 Sm 3.05, 4 Pr 3.15
Sm 0.5000 0.5000 0.1644  8 Cu 3.05-3.08
Cu 0.0000 0.0000 0.0000  8 Sm 3.08

DFT formation energy = -0.162 eV/atom
E above lowest polymorph = 0 meV/atom

=====

Entry 20:
MnRuSN2 | PBE-GGA | relaxed

abc: 3.5434 3.5434 4.9074
angles: 90.00 90.00 90.00
Closest atoms and distances in Å follow each position.
Positions (direct):
N 0.5000 0.0000 0.0000  2 Mn 1.77
S 0.0000 0.0000 0.5000  2 Mn 2.45, 4 Ru 2.51
Mn 0.0000 0.0000 0.0000  4 N 1.77
N 0.0000 0.5000 0.0000  2 Mn 1.77
Ru 0.5000 0.5000 0.5000  4 S 2.51

uncorrected formation energy = 0.899 eV/atom
E above lowest polymorph = 240 meV/atom

=====

Magnetic moment (computed, μB/atom): 0.00; 0.00; 1.20; 0.00; 0.00; 0.00; 0.00; 0.42; 0.00; 0.00; 0.00; 0.00; 0.42; 0.00; 0.00; 0.00; 0.00; 0.00; 0.00; 0.17